Here is crystalline HfFeAu at its relaxed geometry from OQMD via LeMat-Bulk. Energies are from PBE.

Properties
* ΔH_f (0 K): 0.138 eV/atom

Geometry as extended XYZ:
```
3
Lattice="0.000 3.010 3.010 3.010 0.000 3.010 3.010 3.010 0.000" Properties=species:S:1:pos:R:3 pbc="T T T"
Hf 0.000 0.000 0.000
Fe 4.515 4.515 4.515
Au 3.010 3.010 3.010
```

Here is crystalline SrLa2Al7Ag2 at its relaxed geometry from OQMD via LeMat-Bulk. Energies are from PBE.

Geometry as extended XYZ:
```
12
Lattice="2.869 1.656 9.027 -2.869 1.656 9.027 0.000 -3.312 9.027" Properties=species:S:1:pos:R:3 pbc="T T T"
Sr 0.000 0.000 0.000
La 0.000 0.000 3.871
La 0.000 0.000 23.211
Al -1.471 -0.850 11.252
Al 0.000 -1.699 15.831
Al -1.471 0.850 15.831
Al 0.000 0.000 13.541
Al 1.471 -0.850 11.252
Al 0.000 1.699 11.252
Al 1.471 0.850 15.831
Ag 0.000 0.000 9.105
Ag 0.000 0.000 17.977
```

Here is crystalline Ac8CdGe5 at its relaxed geometry from OQMD via LeMat-Bulk. Energies are from PBE.

Geometry as extended XYZ:
```
14
Lattice="-4.904 4.904 4.911 4.904 -4.904 4.911 4.904 4.904 -4.911" Properties=species:S:1:pos:R:3 pbc="T T T"
Ac 6.610 0.670 -0.592
Ac 1.854 -0.679 3.087
Ac 3.050 5.583 -1.825
Ac 0.670 3.199 0.592
Ac 4.226 3.050 1.825
Ac 4.235 1.706 5.504
Ac -1.706 4.235 4.319
Ac 0.679 1.854 6.736
Cd 0.000 0.000 0.000
Ge 3.655 2.458 -1.253
Ge 4.904 0.000 2.456
Ge 2.447 -1.249 6.164
Ge 1.249 2.447 3.658
Ge 2.458 6.154 1.253
```

Here is crystalline Nd2Sm2CI3Cl2 at its relaxed geometry from OQMD via LeMat-Bulk. Energies are from PBE.

Geometry as extended XYZ:
```
10
Lattice="9.398 -1.998 0.000 9.398 1.998 0.000 -1.701 0.000 8.489" Properties=species:S:1:pos:R:3 pbc="T T T"
Nd 2.443 0.000 0.607
Nd 14.653 0.000 7.882
Sm 9.035 0.000 1.647
Sm 8.061 0.000 6.842
C 0.000 0.000 0.000
I -0.850 0.000 4.244
I 5.825 0.000 1.612
I 11.271 0.000 6.877
Cl 5.426 0.000 5.877
Cl 11.669 0.000 2.612
```

Here is crystalline RbMgCoTe at its relaxed geometry from OQMD via LeMat-Bulk. Energies are from PBE.

Geometry as extended XYZ:
```
4
Lattice="0.000 3.820 3.820 3.820 0.000 3.820 3.820 3.820 0.000" Properties=species:S:1:pos:R:3 pbc="T T T"
Rb 0.000 0.000 0.000
Mg 3.820 3.820 3.820
Co 5.731 5.731 5.731
Te 1.910 1.910 1.910
```

Here is crystalline Tb2NdIn3Fe3 at its relaxed geometry from OQMD via LeMat-Bulk. Energies are from PBE.

Geometry as extended XYZ:
```
9
Lattice="3.950 0.000 0.000 0.000 6.476 3.771 0.000 -6.476 3.771" Properties=species:S:1:pos:R:3 pbc="T T T"
Tb 0.000 -3.839 3.771
Tb 0.000 3.839 3.771
Nd 0.000 0.000 2.855
In 1.975 0.000 0.334
In 1.975 -1.671 5.031
In 1.975 1.671 5.031
Fe 0.000 0.000 5.989
Fe 1.975 -2.188 2.228
Fe 1.975 2.188 2.228
```

Here is crystalline LiAlPd at its relaxed geometry from OQMD via LeMat-Bulk. Energies are from PBE.

Geometry as extended XYZ:
```
3
Lattice="0.000 2.852 2.852 2.852 0.000 2.852 2.852 2.852 0.000" Properties=species:S:1:pos:R:3 pbc="T T T"
Li 0.000 0.000 0.000
Al 4.278 4.278 4.278
Pd 1.426 1.426 1.426
```

Here is crystalline AgSF at its relaxed geometry from OQMD via LeMat-Bulk. Energies are from PBE.

Geometry as extended XYZ:
```
6
Lattice="4.805 0.000 0.000 0.000 3.589 0.000 -0.852 0.000 5.764" Properties=species:S:1:pos:R:3 pbc="T T T"
Ag 0.000 0.000 0.000
Ag 1.976 1.794 2.882
S 0.285 0.000 3.571
S 3.668 0.000 2.193
F 1.259 1.794 0.766
F 2.694 1.794 4.998
```

Quick rundown of raw total energy, same order as above: -0.259 -0.148 -0.171 -0.184 -0.100 -0.195 -0.138 -0.131 hartree per atom